# VAsRhBr2, optimized geometry, DFT PBE
data_VAsRhBr2
_cell_length_a 5.171
_cell_length_b 5.171
_cell_length_c 4.673
_cell_angle_alpha 90.00
_cell_angle_beta 90.00
_cell_angle_gamma 90.00
_symmetry_space_group_name_H-M 'P 1'
_symmetry_Int_Tables_number 1
_symmetry_space_group_name_Hall 'P 1'
loop_
_atom_site_label
_atom_site_fract_x
_atom_site_fract_y
_atom_site_fract_z
V1 0.000 0.000 0.000
As1 0.500 0.500 0.000
Rh1 0.500 0.500 0.500
Br1 0.000 0.500 0.500
Br2 0.500 0.000 0.500
# Calculated density: 5.2 g/cm3
# E_form (uncorrected): 0.82 eV/atom
# Relative energy among the computed polymorphs: 0.1971 eV/atom
# Symmetry: P4/mmm, No. 123